Entry 1:
Material: Zr3Fe4Sn4
Method: DFT, PBE
State: relaxed

a b c (Å): 8.201 8.915 10.736
angles (deg): 90.00 90.00 90.00
Sites, in units of the cell vectors:
1 Zr 0.053 0.051 0.135
2 Zr 0.053 0.449 0.135
3 Zr 0.054 0.750 0.553
4 Zr 0.446 0.250 0.053
5 Zr 0.447 0.551 0.635
6 Zr 0.447 0.949 0.635
7 Zr 0.553 0.051 0.365
8 Zr 0.553 0.449 0.365
9 Zr 0.554 0.750 0.947
10 Zr 0.946 0.250 0.447
11 Zr 0.947 0.551 0.865
12 Zr 0.947 0.949 0.865
13 Fe 0.134 0.750 0.265
14 Fe 0.190 0.750 0.023
15 Fe 0.202 0.508 0.403
16 Fe 0.202 0.992 0.403
17 Fe 0.298 0.008 0.903
18 Fe 0.298 0.492 0.903
19 Fe 0.310 0.250 0.523
20 Fe 0.366 0.250 0.765
21 Fe 0.634 0.750 0.235
22 Fe 0.690 0.750 0.477
23 Fe 0.702 0.508 0.097
24 Fe 0.702 0.992 0.097
25 Fe 0.798 0.008 0.597
26 Fe 0.798 0.492 0.597
27 Fe 0.810 0.250 0.977
28 Fe 0.866 0.250 0.735
29 Sn 0.113 0.250 0.917
30 Sn 0.115 0.071 0.645
31 Sn 0.115 0.429 0.645
32 Sn 0.238 0.750 0.790
33 Sn 0.262 0.250 0.290
34 Sn 0.385 0.571 0.145
35 Sn 0.385 0.929 0.145
36 Sn 0.387 0.750 0.417
37 Sn 0.613 0.250 0.583
38 Sn 0.615 0.071 0.855
39 Sn 0.615 0.429 0.855
40 Sn 0.738 0.750 0.710
41 Sn 0.762 0.250 0.210
42 Sn 0.885 0.571 0.355
43 Sn 0.885 0.929 0.355
44 Sn 0.887 0.750 0.083

Summary:
Space-group type: Pnma

Entry 2:
Material: ZrFeSn2
Method: DFT, PBE
State: relaxed

a b c (Å): 4.820 4.820 4.820
angles (deg): 60.00 60.00 60.00
Sites, in units of the cell vectors:
1 Zr 0.000 0.000 0.000
2 Fe 0.750 0.750 0.750
3 Sn 0.250 0.250 0.250
4 Sn 0.500 0.500 0.500

Summary:
Space-group type: F-43m

Entry 3:
Material: Sr3Fe2
Method: DFT, PBE
State: relaxed

a b c (Å): 8.127 8.127 8.127
angles (deg): 55.86 55.86 55.86
Sites, in units of the cell vectors:
1 Sr 0.139 0.750 0.361
2 Sr 0.250 0.639 0.861
3 Sr 0.361 0.139 0.750
4 Sr 0.639 0.861 0.250
5 Sr 0.750 0.361 0.139
6 Sr 0.861 0.250 0.639
7 Fe 0.199 0.199 0.199
8 Fe 0.301 0.301 0.301
9 Fe 0.699 0.699 0.699
10 Fe 0.801 0.801 0.801

Summary:
Space-group type: R-3c

Entry 4:
Material: Sr2Fe3
Method: DFT, PBE
State: relaxed

a b c (Å): 4.076 4.076 8.813
angles (deg): 90.00 90.00 120.00
Sites, in units of the cell vectors:
1 Sr 0.333 0.667 0.208
2 Sr 0.667 0.333 0.792
3 Fe 0.000 0.000 0.500
4 Fe 0.333 0.667 0.548
5 Fe 0.667 0.333 0.452

Summary:
Space-group type: P-3m1

no.,E_tot (eV/atom)
1,-7.083
2,-6.001
3,-3.820
4,-5.433